Below is a relaxed CaBeTe4 crystal, with properties calculated at the PBE-GGA level.

E_form (uncorrected): 7.10 kcal/mol of atoms
VASP energy: -2.741 eV per atom

Lattice parameters (Å, degrees): 9.0598 9.0598 9.0598 90.00 90.00 90.00
Space group F-43m (No. 216)
Asymmetric unit:
Ca 0.0000 0.0000 0.0000 x4
Be 0.2500 0.2500 0.2500 x4
Te 0.1249 0.1249 0.6249 x16